DFT (PBE+U) results for an optimized crystal structure of TcMoF.

Cell and atoms, written as POSCAR:
```
TcMoF
1.0
2.949 0.000 0.000
0.000 1.507 5.487
0.000 -1.507 5.487
Tc Mo F
1 1 1
Cartesian
0.000 0.000 0.000
1.475 0.000 7.000
0.000 0.000 8.774
```

Space-group type   Amm2 (38)
Excess energy over the best structure of this formula in the dataset   74.9 meV per atom
Total magnetization   0.9 μB/f.u.